# 1
DFT (PBE-GGA) results for DyEr2NiSn3Ir2 after structural relaxation.

Calculated values
Electronic total energy in eV/atom: -6.25

Cell: 3.731 13.110 7.560 Å, 90.00 90.00 90.00°
Space group Amm2 (No. 38)
Symmetry-distinct sites (fractional):
1 Dy 0.000 0.000 0.000
2 Er 0.000 0.203 0.610
3 Ni 0.000 0.000 0.408
4 Sn 0.500 0.000 0.663
5 Sn 0.500 0.129 0.279
6 Ir 0.500 0.168 0.906



# 2
DFT (PBE-GGA) results for Dy2ErNiSn3Ir2 after structural relaxation.

Calculated values
Electronic total energy in eV/atom: -6.25

Cell: 3.750 13.094 7.562 Å, 90.00 90.00 90.00°
Space group Amm2 (No. 38)
Symmetry-distinct sites (fractional):
1 Dy 0.000 0.204 0.000
2 Er 0.000 0.000 0.389
3 Ni 0.000 0.000 0.795
4 Sn 0.500 0.000 0.052
5 Sn 0.500 0.128 0.668
6 Ir 0.500 0.165 0.297